No. 1
LiV2F6 | GGA-PBEsol | optimized geometry

Lattice parameters (Å, degrees): 4.6343 4.6343 9.2499 90.00 90.00 90.00
Last column: nearest neighbours and their distance in Å.
Element x y z (fractional)
Li: 0.5000 0.5000 0.5000  6 F 2.01-2.03
Li: 0.0000 0.0000 0.0000  6 F 2.01-2.03
V: 0.0000 0.0000 0.6682  6 F 1.97-2.01
V: 0.5000 0.5000 0.1682  6 F 1.97-2.01
V: 0.5000 0.5000 0.8318  6 F 1.97-2.01
V: 0.0000 0.0000 0.3318  6 F 1.97-2.01
F: 0.6990 0.6990 0.6685  2 V 1.97-2.00, 1 Li 2.03
F: 0.3010 0.3010 0.6685  2 V 1.97-2.00, 1 Li 2.03
F: 0.3063 0.3063 0.0000  1 Li 2.01, 2 V 2.01
F: 0.1937 0.8063 0.5000  1 Li 2.01, 2 V 2.01
F: 0.8063 0.1937 0.5000  1 Li 2.01, 2 V 2.01
F: 0.6937 0.6937 0.0000  1 Li 2.01, 2 V 2.01
F: 0.3010 0.3010 0.3315  2 V 1.97-2.00, 1 Li 2.03
F: 0.1990 0.8010 0.8315  2 V 1.97-2.00, 1 Li 2.03
F: 0.8010 0.1990 0.8315  2 V 1.97-2.00, 1 Li 2.03
F: 0.8010 0.1990 0.1685  2 V 1.97-2.00, 1 Li 2.03
F: 0.1990 0.8010 0.1685  2 V 1.97-2.00, 1 Li 2.03
F: 0.6990 0.6990 0.3315  2 V 1.97-2.00, 1 Li 2.03

Values from the calculation:
Its crystal system is tetragonal. Its raw formation energy is -2789.9 meV per atom.

No. 2
Li2VF4 | GGA-PBEsol | optimized geometry

Lattice parameters (Å, degrees): 3.0286 4.8942 9.8024 90.00 90.00 90.00
Last column: nearest neighbours and their distance in Å.
Element x y z (fractional)
Li: 0.5000 0.9788 0.2872  4 F 1.90-2.07
Li: 0.5000 0.5212 0.7872  4 F 1.90-2.07
Li: 0.5000 0.4788 0.2128  4 F 1.90-2.07
Li: 0.5000 0.0212 0.7128  4 F 1.90-2.07
V: 0.0000 0.5000 0.5000  6 F 2.06
V: 0.0000 0.0000 0.0000  6 F 2.06
F: 0.0000 0.7568 0.8286  2 Li 1.95, 1 V 2.06
F: 0.0000 0.2568 0.6714  2 Li 1.95, 1 V 2.06
F: 0.5000 0.7915 0.0977  2 Li 1.90-2.07, 2 V 2.06
F: 0.5000 0.2915 0.4023  2 Li 1.90-2.07, 2 V 2.06
F: 0.5000 0.7085 0.5977  2 Li 1.90-2.07, 2 V 2.06
F: 0.5000 0.2085 0.9023  2 Li 1.90-2.07, 2 V 2.06
F: 0.0000 0.7432 0.3286  2 Li 1.95, 1 V 2.06
F: 0.0000 0.2432 0.1714  2 Li 1.95, 1 V 2.06

Values from the calculation:
Its crystal system is orthorhombic. Its raw formation energy is -2688.8 meV per atom. The value obtained for the energy above the most stable polymorph in this dataset is 12.5 meV per atom.

No. 3
Li4V2F9 | GGA-PBEsol | optimized geometry

Lattice parameters (Å, degrees): 5.0339 5.0339 13.6310 90.00 90.00 120.00
Last column: nearest neighbours and their distance in Å.
Element x y z (fractional)
Li: 0.6667 0.3333 0.8238  6 F 2.00-2.01
Li: 0.3333 0.6667 0.9816  6 F 1.97-2.11
Li: 0.6667 0.3333 0.5184  6 F 1.97-2.11
Li: 0.3333 0.6667 0.6762  6 F 2.00-2.01
Li: 0.6667 0.3333 0.0184  6 F 1.97-2.11
Li: 0.6667 0.3333 0.3238  6 F 2.00-2.01
Li: 0.3333 0.6667 0.4816  6 F 1.97-2.11
Li: 0.3333 0.6667 0.1762  6 F 2.00-2.01
V: 0.0000 0.0000 0.8467  6 F 1.95-2.06
V: 0.0000 0.0000 0.6533  6 F 1.95-2.06
V: 0.0000 0.0000 0.3467  6 F 1.95-2.06
V: 0.0000 0.0000 0.1533  6 F 1.95-2.06
F: 0.3134 0.0000 0.2500  2 Li 2.00, 2 V 2.06
F: 0.6729 0.6496 0.9157  1 V 1.95, 3 Li 1.97-2.11
F: 0.3271 0.9767 0.5843  1 V 1.95, 3 Li 1.97-2.11
F: 0.0000 0.6866 0.7500  2 Li 2.00, 2 V 2.06
F: 0.9767 0.6496 0.4157  1 V 1.95, 3 Li 1.97-2.11
F: 0.0233 0.6729 0.0843  1 V 1.95, 3 Li 1.97-2.11
F: 0.6866 0.0000 0.7500  2 Li 2.00, 2 V 2.06
F: 0.3504 0.3271 0.4157  1 V 1.95, 3 Li 1.97-2.11
F: 0.6496 0.9767 0.0843  1 V 1.95, 3 Li 1.97-2.11
F: 0.3504 0.0233 0.9157  1 V 1.95, 3 Li 1.97-2.11
F: 0.6496 0.6729 0.5843  1 V 1.95, 3 Li 1.97-2.11
F: 0.6866 0.6866 0.2500  2 Li 2.00, 2 V 2.06
F: 0.9767 0.3271 0.9157  1 V 1.95, 3 Li 1.97-2.11
F: 0.0233 0.3504 0.5843  1 V 1.95, 3 Li 1.97-2.11
F: 0.0000 0.3134 0.2500  2 Li 2.00, 2 V 2.06
F: 0.6729 0.0233 0.4157  1 V 1.95, 3 Li 1.97-2.11
F: 0.3271 0.3504 0.0843  1 V 1.95, 3 Li 1.97-2.11
F: 0.3134 0.3134 0.7500  2 Li 2.00, 2 V 2.06

Values from the calculation:
Its crystal system is trigonal. Its raw formation energy is -2833.8 meV per atom.

No. 4
LiVF5 | GGA-PBEsol | optimized geometry

Lattice parameters (Å, degrees): 5.8381 5.8381 12.1263 90.00 90.00 105.71
Last column: nearest neighbours and their distance in Å.
Element x y z (fractional)
Li: 0.1571 0.8429 0.0000  5 F 1.95-2.02
Li: 0.3429 0.6571 0.5000  5 F 1.95-2.02
Li: 0.6571 0.3429 0.5000  5 F 1.95-2.02
Li: 0.8429 0.1571 0.0000  5 F 1.95-2.02
V: 0.1711 0.1711 0.5836  4 F 1.72-1.88
V: 0.3289 0.3289 0.0836  4 F 1.72-1.88
V: 0.6711 0.6711 0.9164  4 F 1.72-1.88
V: 0.8289 0.8289 0.4164  4 F 1.72-1.88
F: 0.1332 0.8668 0.5000  1 Li 1.95, 2 V 2.00
F: 0.9804 0.9804 0.3055  1 V 1.72
F: 0.1749 0.4694 0.6247  1 V 1.81, 1 Li 1.97
F: 0.0306 0.3251 0.1247  1 V 1.81, 1 Li 1.97
F: 0.1817 0.1817 0.9544  1 V 1.88, 2 Li 2.02
F: 0.3668 0.6332 0.0000  1 Li 1.95, 2 V 2.00
F: 0.3183 0.3183 0.4544  1 V 1.88, 2 Li 2.02
F: 0.4694 0.1749 0.6247  1 V 1.81, 1 Li 1.97
F: 0.3251 0.0306 0.1247  1 V 1.81, 1 Li 1.97
F: 0.5196 0.5196 0.8055  1 V 1.72
F: 0.4804 0.4804 0.1945  1 V 1.72
F: 0.6749 0.9694 0.8753  1 V 1.81, 1 Li 1.97
F: 0.5306 0.8251 0.3753  1 V 1.81, 1 Li 1.97
F: 0.6817 0.6817 0.5456  1 V 1.88, 2 Li 2.02
F: 0.6332 0.3668 0.0000  1 Li 1.95, 2 V 2.00
F: 0.8183 0.8183 0.0456  1 V 1.88, 2 Li 2.02
F: 0.9694 0.6749 0.8753  1 V 1.81, 1 Li 1.97
F: 0.8251 0.5306 0.3753  1 V 1.81, 1 Li 1.97
F: 0.0196 0.0196 0.6945  1 V 1.72
F: 0.8668 0.1332 0.5000  1 Li 1.95, 2 V 2.00

Values from the calculation:
Its crystal system is orthorhombic. Its raw formation energy is -2825.4 meV per atom. The value obtained for the energy above the most stable polymorph in this dataset is 70.3 meV per atom.

No. 5
Li2VF4 | GGA-PBEsol | optimized geometry

Lattice parameters (Å, degrees): 4.0677 4.0677 5.2007 113.02 113.02 90.00
Last column: nearest neighbours and their distance in Å.
Element x y z (fractional)
V: 0.0000 0.0000 0.0000  6 F 2.03-2.05
Li: 0.7500 0.2500 0.5000  6 F 2.04-2.17
Li: 0.2500 0.7500 0.5000  6 F 2.04-2.17
F: 0.2365 0.2365 0.4729  4 Li 2.04, 1 V 2.05
F: 0.7635 0.7635 0.5271  4 Li 2.04, 1 V 2.05
F: 0.0000 0.5000 0.0000  2 V 2.03, 2 Li 2.17
F: 0.5000 0.0000 0.0000  2 V 2.03, 2 Li 2.17

Values from the calculation:
Its crystal system is tetragonal. Its raw formation energy is -2664.0 meV per atom. The value obtained for the energy above the most stable polymorph in this dataset is 37.3 meV per atom.

No. 6
LiVF5 | GGA-PBEsol | optimized geometry

Lattice parameters (Å, degrees): 4.9845 6.3239 11.2448 90.00 90.00 90.00
Last column: nearest neighbours and their distance in Å.
Element x y z (fractional)
Li: 0.0839 0.5887 0.7076  5 F 1.94-2.09
Li: 0.5839 0.9113 0.2924  5 F 1.94-2.09
Li: 0.4161 0.4113 0.2076  5 F 1.94-2.09
Li: 0.9161 0.0887 0.7924  5 F 1.94-2.09
V: 0.3461 0.0975 0.5815  6 F 1.78-1.96
V: 0.8461 0.4025 0.4185  6 F 1.78-1.96
V: 0.1539 0.9025 0.0815  6 F 1.78-1.96
V: 0.6539 0.5975 0.9185  6 F 1.78-1.96
F: 0.6397 0.0704 0.6708  1 V 1.78, 1 Li 1.94
F: 0.1896 0.8745 0.6560  1 V 1.82, 1 Li 1.97
F: 0.1809 0.2695 0.6906  1 V 1.83
F: 0.5243 0.3386 0.5120  2 V 1.93-1.96
F: 0.4454 0.9435 0.4555  1 V 1.79, 1 Li 1.97
F: 0.9454 0.5565 0.5445  1 V 1.79, 1 Li 1.97
F: 0.0243 0.1614 0.4880  2 V 1.93-1.96
F: 0.6809 0.2305 0.3094  1 V 1.83
F: 0.6896 0.6255 0.3440  1 V 1.82, 1 Li 1.97
F: 0.1397 0.4296 0.3292  1 V 1.78, 1 Li 1.94
F: 0.8603 0.9296 0.1708  1 V 1.78, 1 Li 1.94
F: 0.3104 0.1255 0.1560  1 V 1.82, 1 Li 1.97
F: 0.3191 0.7305 0.1906  1 V 1.83
F: 0.9757 0.6614 0.0120  2 V 1.93-1.96
F: 0.0546 0.0565 0.9555  1 V 1.79, 1 Li 1.97
F: 0.5546 0.4435 0.0445  1 V 1.79, 1 Li 1.97
F: 0.4757 0.8386 0.9880  2 V 1.93-1.96
F: 0.8191 0.7695 0.8094  1 V 1.83
F: 0.8104 0.3745 0.8440  1 V 1.82, 1 Li 1.97
F: 0.3603 0.5704 0.8292  1 V 1.78, 1 Li 1.94

Values from the calculation:
Its crystal system is orthorhombic. Its raw formation energy is -2883.0 meV per atom. The value obtained for the energy above the most stable polymorph in this dataset is 12.7 meV per atom.

No. 7
Li4VF8 | GGA-PBEsol | optimized geometry

Lattice parameters (Å, degrees): 5.0316 5.1431 5.9825 90.00 90.00 111.26
Last column: nearest neighbours and their distance in Å.
Element x y z (fractional)
Li: 0.0000 0.5000 0.1804  2 F 1.84
Li: 0.5000 0.5000 0.9947  4 F 1.87-2.05
Li: 0.5000 0.0000 0.2340  4 F 1.87-2.05
Li: 0.5000 0.0000 0.7949  4 F 1.90-2.07
V: 0.5000 0.5000 0.5053  6 F 1.83-1.87
F: 0.2947 0.7339 0.4863  1 V 1.85, 1 Li 2.05
F: 0.2987 0.7419 0.0181  4 Li 1.84-1.90
F: 0.2631 0.2882 0.2783  1 V 1.87, 1 Li 2.08
F: 0.2897 0.2705 0.7258  1 V 1.83, 1 Li 2.05
F: 0.7103 0.7295 0.7258  1 V 1.83, 1 Li 2.05
F: 0.7369 0.7118 0.2783  1 V 1.87, 1 Li 2.08
F: 0.7013 0.2581 0.0181  4 Li 1.84-1.90
F: 0.7053 0.2661 0.4863  1 V 1.85, 1 Li 2.05

Values from the calculation:
Its crystal system is monoclinic. Its raw formation energy is -2893.1 meV per atom. The value obtained for the energy above the most stable polymorph in this dataset is 0.0 meV per atom.

No. 8
LiVF3 | GGA-PBEsol | optimized geometry

Lattice parameters (Å, degrees): 5.5866 9.1907 18.4997 90.00 90.00 90.00
Last column: nearest neighbours and their distance in Å.
Element x y z (fractional)
Li: 0.3298 0.6700 0.0418  4 F 1.83-1.98
Li: 0.8298 0.8300 0.0418  4 F 1.83-1.98
Li: 0.5591 0.6743 0.2225  4 F 1.79-1.96
Li: 0.0591 0.8257 0.2225  4 F 1.79-1.96
Li: 0.5591 0.1743 0.2775  4 F 1.79-1.96
Li: 0.0591 0.3257 0.2775  4 F 1.79-1.96
Li: 0.3298 0.1700 0.4582  4 F 1.83-1.98
Li: 0.8298 0.3300 0.4582  4 F 1.83-1.98
Li: 0.1702 0.6700 0.5418  4 F 1.83-1.98
Li: 0.6702 0.8300 0.5418  4 F 1.83-1.98
Li: 0.9409 0.6743 0.7225  4 F 1.79-1.96
Li: 0.4409 0.8257 0.7225  4 F 1.79-1.96
Li: 0.9409 0.1743 0.7775  4 F 1.79-1.96
Li: 0.4409 0.3257 0.7775  4 F 1.79-1.96
Li: 0.1702 0.1700 0.9582  4 F 1.83-1.98
Li: 0.6702 0.3300 0.9582  4 F 1.83-1.98
V: 0.3263 0.9833 0.1203  6 F 2.02-2.18
V: 0.8263 0.5167 0.1203  6 F 2.02-2.18
V: 0.3354 0.3424 0.1189  6 F 2.01-2.13
V: 0.8354 0.1576 0.1189  6 F 2.01-2.13
V: 0.8354 0.6576 0.3811  6 F 2.01-2.13
V: 0.3354 0.8424 0.3811  6 F 2.01-2.13
V: 0.8263 0.0167 0.3797  6 F 2.02-2.18
V: 0.3263 0.4833 0.3797  6 F 2.02-2.18
V: 0.6737 0.5167 0.6203  6 F 2.02-2.18
V: 0.1737 0.9833 0.6203  6 F 2.02-2.18
V: 0.6646 0.1576 0.6189  6 F 2.01-2.13
V: 0.1646 0.3424 0.6189  6 F 2.01-2.13
V: 0.6646 0.6576 0.8811  6 F 2.01-2.13
V: 0.1646 0.8424 0.8811  6 F 2.01-2.13
V: 0.6737 0.0167 0.8797  6 F 2.02-2.18
V: 0.1737 0.4833 0.8797  6 F 2.02-2.18
F: 0.1540 0.8351 0.0586  2 Li 1.83-1.84, 1 V 2.02
F: 0.6540 0.6649 0.0586  2 Li 1.83-1.84, 1 V 2.02
F: 0.1709 0.1669 0.0652  1 Li 1.98, 3 V 2.11-2.15
F: 0.6709 0.3331 0.0652  1 Li 1.98, 3 V 2.11-2.15
F: 0.1555 0.5070 0.0701  1 Li 1.86, 2 V 2.03-2.06
F: 0.6555 0.9930 0.0701  1 Li 1.86, 2 V 2.03-2.06
F: 0.5050 0.1652 0.1730  1 Li 1.96, 3 V 2.10-2.18
F: 0.0050 0.3348 0.1730  1 Li 1.96, 3 V 2.10-2.18
F: 0.5088 0.4964 0.1754  1 Li 1.87, 2 V 2.01-2.05
F: 0.0088 0.0036 0.1754  1 Li 1.87, 2 V 2.01-2.05
F: 0.3787 0.8241 0.1935  2 Li 1.79-1.86
F: 0.8787 0.6759 0.1935  2 Li 1.79-1.86
F: 0.8787 0.1759 0.3065  2 Li 1.79-1.86
F: 0.3787 0.3241 0.3065  2 Li 1.79-1.86
F: 0.5088 0.9964 0.3246  1 Li 1.87, 2 V 2.01-2.05
F: 0.0088 0.5036 0.3246  1 Li 1.87, 2 V 2.01-2.05
F: 0.5050 0.6652 0.3270  1 Li 1.96, 3 V 2.10-2.18
F: 0.0050 0.8348 0.3270  1 Li 1.96, 3 V 2.10-2.18
F: 0.1555 0.0070 0.4299  1 Li 1.86, 2 V 2.03-2.06
F: 0.6555 0.4930 0.4299  1 Li 1.86, 2 V 2.03-2.06
F: 0.1709 0.6669 0.4348  1 Li 1.98, 3 V 2.11-2.15
F: 0.6709 0.8331 0.4348  1 Li 1.98, 3 V 2.11-2.15
F: 0.6540 0.1649 0.4414  2 Li 1.83-1.84, 1 V 2.02
F: 0.1540 0.3351 0.4414  2 Li 1.83-1.84, 1 V 2.02
F: 0.8460 0.6649 0.5586  2 Li 1.83-1.84, 1 V 2.02
F: 0.3460 0.8351 0.5586  2 Li 1.83-1.84, 1 V 2.02
F: 0.3291 0.1669 0.5652  1 Li 1.98, 3 V 2.11-2.15
F: 0.8291 0.3331 0.5652  1 Li 1.98, 3 V 2.11-2.15
F: 0.3445 0.5070 0.5701  1 Li 1.86, 2 V 2.03-2.06
F: 0.8445 0.9930 0.5701  1 Li 1.86, 2 V 2.03-2.06
F: 0.9950 0.1652 0.6730  1 Li 1.96, 3 V 2.10-2.18
F: 0.4950 0.3348 0.6730  1 Li 1.96, 3 V 2.10-2.18
F: 0.9912 0.4964 0.6754  1 Li 1.87, 2 V 2.01-2.05
F: 0.4912 0.0036 0.6754  1 Li 1.87, 2 V 2.01-2.05
F: 0.6213 0.6759 0.6935  2 Li 1.79-1.86
F: 0.1213 0.8241 0.6935  2 Li 1.79-1.86
F: 0.6213 0.1759 0.8065  2 Li 1.79-1.86
F: 0.1213 0.3241 0.8065  2 Li 1.79-1.86
F: 0.9912 0.9964 0.8246  1 Li 1.87, 2 V 2.01-2.05
F: 0.4912 0.5036 0.8246  1 Li 1.87, 2 V 2.01-2.05
F: 0.9950 0.6652 0.8270  1 Li 1.96, 3 V 2.10-2.18
F: 0.4950 0.8348 0.8270  1 Li 1.96, 3 V 2.10-2.18
F: 0.3445 0.0070 0.9299  1 Li 1.86, 2 V 2.03-2.06
F: 0.8445 0.4930 0.9299  1 Li 1.86, 2 V 2.03-2.06
F: 0.3291 0.6669 0.9348  1 Li 1.98, 3 V 2.11-2.15
F: 0.8291 0.8331 0.9348  1 Li 1.98, 3 V 2.11-2.15
F: 0.8460 0.1649 0.9414  2 Li 1.83-1.84, 1 V 2.02
F: 0.3460 0.3351 0.9414  2 Li 1.83-1.84, 1 V 2.02

Values from the calculation:
Its crystal system is orthorhombic. Its raw formation energy is -2557.7 meV per atom. The value obtained for the energy above the most stable polymorph in this dataset is 48.9 meV per atom.

Q: Number 7 is which compound?
A: Li4VF8